Entry 1:
## MgTlGa (PBE)

Data for a relaxed structure of MgTlGa. Values from VASP.

Structure (Quantum ESPRESSO input):
```
&SYSTEM
  ibrav = 0, nat = 6, ntyp = 3
/
ATOMIC_SPECIES
Mg 24.30 Mg.upf
Ga 69.72 Ga.upf
Tl 204.38 Tl.upf
CELL_PARAMETERS angstrom
-6.5444 3.9636 -0.1909
-1.7395 -3.8011 -3.5574
-1.1883 -1.8394 2.5470
ATOMIC_POSITIONS angstrom
Mg -4.9808 -1.1136 -0.2515
Mg -6.9103 1.5485 0.7710
Ga -2.0431 -0.7658 -0.8441
Ga -6.7145 0.5750 -2.0551
Tl -3.7848 1.8176 0.2089
Tl -3.2664 -3.6618 -1.2914
```

Properties
* space group: Pm, No. 6
* ΔE_f: 0.03 eV/atom
* total energy: -2.2987 eV/atom


Entry 2:
## LiPuCu2Cl8 (PBE)

Data for a relaxed structure of LiPuCu2Cl8. Values from VASP.

Structure (Quantum ESPRESSO input):
```
&SYSTEM
  ibrav = 0, nat = 12, ntyp = 4
/
ATOMIC_SPECIES
Cl 35.45 Cl.upf
Cu 63.55 Cu.upf
Pu 244.00 Pu.upf
Li 6.94 Li.upf
CELL_PARAMETERS angstrom
7.3052 0.2310 0.0000
-3.0330 6.6498 0.0000
-2.1361 -3.4404 6.0844
ATOMIC_POSITIONS angstrom
Cl 3.7570 -1.8637 4.1749
Cl 5.4728 0.8997 1.9094
Cl 0.2090 -1.9082 4.9002
Cl 3.9391 4.0994 1.1841
Cl 1.8324 -0.6687 1.9094
Cl -0.2090 1.9082 4.9002
Cl 0.3331 2.7814 1.1841
Cl 3.5481 2.0947 4.1749
Cu 3.6526 0.1155 3.0422
Cu 2.1361 3.4404 0.0000
Pu -1.5165 3.3249 3.0422
Li 0.0000 0.0000 0.0000
```

Properties
* space group: I-4m2, No. 119
* total energy: -4.3926 eV/atom
* uncorrected formation energy: -1.12 eV per atom


Entry 3:
## Te2WBrN (PBE)

Data for a relaxed structure of Te2WBrN. Values from VASP.

Structure (Quantum ESPRESSO input):
```
&SYSTEM
  ibrav = 0, nat = 5, ntyp = 4
/
ATOMIC_SPECIES
Br 79.90 Br.upf
W 183.84 W.upf
Te 127.60 Te.upf
N 14.01 N.upf
CELL_PARAMETERS angstrom
5.5791 0.0000 0.0000
0.0000 5.5791 0.0000
0.0000 0.0000 3.6402
ATOMIC_POSITIONS angstrom
Br 0.0000 0.0000 0.0000
W 2.7896 2.7896 1.8201
Te 0.0000 2.7896 0.0000
Te 2.7896 0.0000 0.0000
N 0.0000 0.0000 1.8201
```

Properties
* space group: P4/mmm, No. 123
* total energy: -3.7927 eV/atom
* uncorrected formation energy: 2.05 eV per atom